First-principles (PBE) data for crystalline YMg6TiO8 at its relaxed geometry, as listed in the Alexandria database.

```
YMg6TiO8
1.0
-0.884 -2.578 3.515
4.322 -0.981 0.368
1.127 6.993 5.413
Ti Mg O Y
1 6 8 1
direct
0.000 0.000 0.500
0.500 0.500 0.000
0.000 0.500 0.735
0.500 0.000 0.265
0.500 0.500 0.500
0.000 0.500 0.265
0.500 0.000 0.735
0.500 0.500 0.253
0.000 0.500 0.000
0.500 0.500 0.747
0.500 0.000 0.000
0.000 0.000 0.746
0.500 0.000 0.500
0.000 0.500 0.500
0.000 0.000 0.254
0.000 0.000 0.000
```

The calculation puts the size of the total moment at 2.246 μB/cell. For the uncorrected formation energy, the calculation gives -2.466 eV per atom. The energy is -6.440 eV per atom. The calculation puts the density of states at the Fermi level at 4.90 states/eV/f.u.

First-principles (PBE) data for crystalline Yb2MgTiO6 at its relaxed geometry, as listed in the Alexandria database.

```
Yb2MgTiO6
1.0
-0.689 -5.559 0.648
2.162 -0.831 -4.829
9.094 -1.311 -1.577
Yb O Mg Ti
4 12 2 2
direct
0.066 0.730 0.753
0.566 0.270 0.747
0.934 0.270 0.247
0.434 0.730 0.253
0.042 0.869 0.243
0.689 0.353 0.446
0.811 0.353 0.946
0.311 0.647 0.554
0.189 0.647 0.054
0.295 0.248 0.938
0.958 0.131 0.757
0.205 0.248 0.438
0.795 0.752 0.562
0.458 0.869 0.743
0.542 0.131 0.257
0.705 0.752 0.062
0.000 0.500 0.500
0.500 0.500 0.000
0.500 0.000 0.500
0.000 0.000 0.000
```

The calculation puts the size of the total moment at 4.178 μB/cell. For the uncorrected formation energy, the calculation gives -2.846 eV per atom. The energy is -7.075 eV per atom. The calculation puts the density of states at the Fermi level at 19.15 states/eV/f.u.

First-principles (PBE) data for crystalline Mg6TiZnO8 at its relaxed geometry, as listed in the Alexandria database.

```
Mg6TiZnO8
1.0
-2.533 2.004 -2.812
-3.198 -2.678 0.972
-2.647 5.433 6.258
Mg O Zn Ti
6 8 1 1
direct
0.500 0.500 0.000
0.500 0.500 0.500
0.500 0.000 0.754
0.500 0.000 0.246
0.000 0.500 0.246
0.000 0.500 0.754
0.000 0.500 0.000
0.500 0.000 0.000
0.500 0.500 0.749
0.500 0.500 0.251
0.500 0.000 0.500
0.000 0.500 0.500
0.000 0.000 0.748
0.000 0.000 0.252
0.000 0.000 0.000
0.000 0.000 0.500
```

The calculation puts the size of the total moment at 1.764 μB/cell. For the uncorrected formation energy, the calculation gives -2.418 eV per atom. The energy is -6.068 eV per atom. The calculation puts the density of states at the Fermi level at 1.56 states/eV/f.u.

> Which of these has the highest size of the total moment?

Yb2MgTiO6

> Which value of density of states at the Fermi level does entry 3 give?

1.56 states/eV/f.u.

> The lowest energy belongs to which entry?

Yb2MgTiO6